No. 1
# CdRe2Cl | Alexandria via LeMat-Bulk | meta-GGA SCAN | single point on PBEsol structure
# - mass density (g cm⁻³) = 13.53
# - uncorrected formation energy (meV per atom) = 1008
# - energy above the lowest structure with this stoichiometry (meV per atom) = 781.1
# - volume (A^3/atom) = 15.96
data_CdRe2Cl
_chemical_formula_sum 'Cd2 Re4 Cl2'
_symmetry_space_group_name_H-M 'C m m m'
_symmetry_Int_Tables_number 65
_symmetry_space_group_name_Hall '-C 2 2'
_cell_length_a 2.7524
_cell_length_b 4.9390
_cell_length_c 9.3946
_cell_angle_alpha 90.00
_cell_angle_beta 90.00
_cell_angle_gamma 90.00
loop_
_atom_site_label
_atom_site_type_symbol
_atom_site_fract_x
_atom_site_fract_y
_atom_site_fract_z
_atom_site_occupancy
Cd1 Cd 0.0000 0.0000 0.0000 1
Re1 Re 0.0000 0.5000 0.2653 1
Cl1 Cl 0.0000 0.0000 0.5000 1

No. 2
# CdRe2Cl | Alexandria via LeMat-Bulk | meta-GGA SCAN | single point on PBEsol structure
# - mass density (g cm⁻³) = 13.18
# - uncorrected formation energy (meV per atom) = 1003
# - energy above the lowest structure with this stoichiometry (meV per atom) = 775.9
# - volume (A^3/atom) = 16.38
data_CdRe2Cl
_chemical_formula_sum 'Cd1 Re2 Cl1'
_symmetry_space_group_name_H-M 'P m m m'
_symmetry_Int_Tables_number 47
_cell_length_a 2.7741
_cell_length_b 4.7757
_cell_length_c 4.9471
_cell_angle_alpha 90.00
_cell_angle_beta 90.00
_cell_angle_gamma 90.00
loop_
_symmetry_equiv_pos_as_xyz
'x,y,z'
'-x,-y,-z'
'-x,-y,z'
'x,y,-z'
'x,-y,-z'
'-x,y,z'
'-x,y,-z'
'x,-y,z'
loop_
_atom_site_label
_atom_site_type_symbol
_atom_site_fract_x
_atom_site_fract_y
_atom_site_fract_z
_atom_site_occupancy
Cd1 Cd 0.0000 0.0000 0.0000 1
Re1 Re 0.0000 0.5000 0.5000 1
Re2 Re 0.5000 0.0000 0.5000 1
Cl1 Cl 0.5000 0.5000 0.0000 1

No. 3
# Cd2ReCl | Alexandria via LeMat-Bulk | meta-GGA SCAN | single point on PBEsol structure
# - mass density (g cm⁻³) = 9.32
# - uncorrected formation energy (meV per atom) = 1053
# - energy above the lowest structure with this stoichiometry (meV per atom) = 125.4
# - volume (A^3/atom) = 19.89
data_Cd2ReCl
_chemical_formula_sum 'Cd8 Re4 Cl4'
_symmetry_space_group_name_H-M 'F m -3 m'
_symmetry_Int_Tables_number 225
_symmetry_space_group_name_Hall '-F 4 2 3'
_cell_length_a 6.8274
_cell_length_b 6.8274
_cell_length_c 6.8274
_cell_angle_alpha 90.00
_cell_angle_beta 90.00
_cell_angle_gamma 90.00
loop_
_atom_site_label
_atom_site_type_symbol
_atom_site_fract_x
_atom_site_fract_y
_atom_site_fract_z
_atom_site_occupancy
Cd1 Cd 0.2500 0.2500 0.2500 1
Re1 Re 0.0000 0.0000 0.0000 1
Cl1 Cl 0.0000 0.0000 0.5000 1

No. 4
# CdRe2Cl | Alexandria via LeMat-Bulk | meta-GGA SCAN | single point on PBEsol structure
# - mass density (g cm⁻³) = 12.44
# - uncorrected formation energy (meV per atom) = 227
# - energy above the lowest structure with this stoichiometry (meV per atom) = 0.0
# - volume (A^3/atom) = 17.36
data_CdRe2Cl
_chemical_formula_sum 'Cd1 Re2 Cl1'
_symmetry_space_group_name_H-M 'P 4 m m'
_symmetry_Int_Tables_number 99
_cell_length_a 2.9235
_cell_length_b 2.9235
_cell_length_c 8.1239
_cell_angle_alpha 90.00
_cell_angle_beta 90.00
_cell_angle_gamma 90.00
loop_
_symmetry_equiv_pos_as_xyz
'x,y,z'
'-y,x,z'
'-x,-y,z'
'y,-x,z'
'-x,y,z'
'y,x,z'
'x,-y,z'
'-y,-x,z'
loop_
_atom_site_label
_atom_site_type_symbol
_atom_site_fract_x
_atom_site_fract_y
_atom_site_fract_z
_atom_site_occupancy
Cd1 Cd 0.0000 0.0000 0.0000 1
Re1 Re 0.0000 0.0000 0.5571 1
Re2 Re 0.5000 0.5000 0.7480 1
Cl1 Cl 0.5000 0.5000 0.3328 1

No. 5
# Cd2ReCl | Alexandria via LeMat-Bulk | meta-GGA SCAN | single point on PBEsol structure
# - mass density (g cm⁻³) = 9.89
# - uncorrected formation energy (meV per atom) = 928
# - energy above the lowest structure with this stoichiometry (meV per atom) = 0.0
# - volume (A^3/atom) = 18.73
data_Cd2ReCl
_chemical_formula_sum 'Cd4 Re2 Cl2'
_symmetry_space_group_name_H-M 'I -4 m 2'
_symmetry_Int_Tables_number 119
_symmetry_space_group_name_Hall 'I -4 -2'
_cell_length_a 4.0917
_cell_length_b 4.0917
_cell_length_c 8.9515
_cell_angle_alpha 90.00
_cell_angle_beta 90.00
_cell_angle_gamma 90.00
loop_
_atom_site_label
_atom_site_type_symbol
_atom_site_fract_x
_atom_site_fract_y
_atom_site_fract_z
_atom_site_occupancy
Cd1 Cd 0.0000 0.0000 0.0000 1
Cd2 Cd 0.0000 0.5000 0.2500 1
Re1 Re 0.0000 0.5000 0.7500 1
Cl1 Cl 0.0000 0.0000 0.5000 1

No. 6
# CdRe2Cl | Alexandria via LeMat-Bulk | meta-GGA SCAN | single point on PBEsol structure
# - mass density (g cm⁻³) = 13.61
# - uncorrected formation energy (meV per atom) = 1325
# - energy above the lowest structure with this stoichiometry (meV per atom) = 1097.7
# - volume (A^3/atom) = 15.87
data_CdRe2Cl
_chemical_formula_sum 'Cd1 Re2 Cl1'
_symmetry_space_group_name_H-M 'P 4/m m m'
_symmetry_Int_Tables_number 123
_symmetry_space_group_name_Hall '-P 4 2'
_cell_length_a 2.7194
_cell_length_b 2.7194
_cell_length_c 8.5816
_cell_angle_alpha 90.00
_cell_angle_beta 90.00
_cell_angle_gamma 90.00
loop_
_atom_site_label
_atom_site_type_symbol
_atom_site_fract_x
_atom_site_fract_y
_atom_site_fract_z
_atom_site_occupancy
Cd1 Cd 0.0000 0.0000 0.0000 1
Re1 Re 0.5000 0.5000 0.2622 1
Cl1 Cl 0.0000 0.0000 0.5000 1

No. 7
# CdRh2Cl2 | Alexandria via LeMat-Bulk | meta-GGA SCAN | single point on PBEsol structure
# - mass density (g cm⁻³) = 6.92
# - uncorrected formation energy (meV per atom) = 307
# - volume (A^3/atom) = 18.68
data_CdRh2Cl2
_chemical_formula_sum 'Cd2 Rh4 Cl4'
_symmetry_space_group_name_H-M 'I 4/m m m'
_symmetry_Int_Tables_number 139
_symmetry_space_group_name_Hall '-I 4 2'
_cell_length_a 3.5144
_cell_length_b 3.5144
_cell_length_c 15.1268
_cell_angle_alpha 90.00
_cell_angle_beta 90.00
_cell_angle_gamma 90.00
loop_
_atom_site_label
_atom_site_type_symbol
_atom_site_fract_x
_atom_site_fract_y
_atom_site_fract_z
_atom_site_occupancy
Cd1 Cd 0.0000 0.0000 0.0000 1
Rh1 Rh 0.0000 0.5000 0.2500 1
Cl1 Cl 0.0000 0.0000 0.3894 1

No. 8
# CdRhCl | Alexandria via LeMat-Bulk | meta-GGA SCAN | single point on PBEsol structure
# - mass density (g cm⁻³) = 7.10
# - uncorrected formation energy (meV per atom) = 260
# - volume (A^3/atom) = 19.55
data_CdRhCl
_chemical_formula_sum 'Cd4 Rh4 Cl4'
_symmetry_space_group_name_H-M 'F -4 3 m'
_symmetry_Int_Tables_number 216
_symmetry_space_group_name_Hall 'F -4 2 3'
_cell_length_a 6.1678
_cell_length_b 6.1678
_cell_length_c 6.1678
_cell_angle_alpha 90.00
_cell_angle_beta 90.00
_cell_angle_gamma 90.00
loop_
_atom_site_label
_atom_site_type_symbol
_atom_site_fract_x
_atom_site_fract_y
_atom_site_fract_z
_atom_site_occupancy
Cd1 Cd 0.0000 0.0000 0.0000 1
Rh1 Rh 0.2500 0.2500 0.2500 1
Cl1 Cl 0.0000 0.0000 0.5000 1

No. 9
# CdRu2Cl | Alexandria via LeMat-Bulk | meta-GGA SCAN | single point on PBEsol structure
# - mass density (g cm⁻³) = 9.27
# - uncorrected formation energy (meV per atom) = 218
# - energy above the lowest structure with this stoichiometry (meV per atom) = 0.0
# - volume (A^3/atom) = 15.68
data_CdRu2Cl
_chemical_formula_sum 'Cd3 Ru6 Cl3'
_symmetry_space_group_name_H-M 'R 3 m'
_symmetry_Int_Tables_number 160
_symmetry_space_group_name_Hall 'R 3 -2"'
_cell_length_a 2.8743
_cell_length_b 2.8743
_cell_length_c 26.3008
_cell_angle_alpha 90.00
_cell_angle_beta 90.00
_cell_angle_gamma 120.00
loop_
_atom_site_label
_atom_site_type_symbol
_atom_site_fract_x
_atom_site_fract_y
_atom_site_fract_z
_atom_site_occupancy
Cd1 Cd 0.0000 0.0000 0.0000 1
Ru1 Ru 0.0000 0.0000 0.4954 1
Ru2 Ru 0.0000 0.0000 0.7550 1
Cl1 Cl 0.0000 0.0000 0.2349 1

No. 10
# CdRu2Cl | Alexandria via LeMat-Bulk | meta-GGA SCAN | single point on PBEsol structure
# - mass density (g cm⁻³) = 8.64
# - uncorrected formation energy (meV per atom) = 917
# - energy above the lowest structure with this stoichiometry (meV per atom) = 698.2
# - volume (A^3/atom) = 16.82
data_CdRu2Cl
_chemical_formula_sum 'Cd1 Ru2 Cl1'
_symmetry_space_group_name_H-M 'P 4/m m m'
_symmetry_Int_Tables_number 123
_symmetry_space_group_name_Hall '-P 4 2'
_cell_length_a 3.7872
_cell_length_b 3.7872
_cell_length_c 4.6921
_cell_angle_alpha 90.00
_cell_angle_beta 90.00
_cell_angle_gamma 90.00
loop_
_atom_site_label
_atom_site_type_symbol
_atom_site_fract_x
_atom_site_fract_y
_atom_site_fract_z
_atom_site_occupancy
Cd1 Cd 0.0000 0.0000 0.0000 1
Ru1 Ru 0.0000 0.5000 0.5000 1
Cl1 Cl 0.5000 0.5000 0.0000 1

No. 11
# Cd4RuCl | Alexandria via LeMat-Bulk | meta-GGA SCAN | single point on PBEsol structure
# - mass density (g cm⁻³) = 8.11
# - uncorrected formation energy (meV per atom) = 458
# - volume (A^3/atom) = 20.01
data_Cd4RuCl
_chemical_formula_sum 'Cd16 Ru4 Cl4'
_symmetry_space_group_name_H-M 'F -4 3 m'
_symmetry_Int_Tables_number 216
_symmetry_space_group_name_Hall 'F -4 2 3'
_cell_length_a 7.8311
_cell_length_b 7.8311
_cell_length_c 7.8311
_cell_angle_alpha 90.00
_cell_angle_beta 90.00
_cell_angle_gamma 90.00
loop_
_atom_site_label
_atom_site_type_symbol
_atom_site_fract_x
_atom_site_fract_y
_atom_site_fract_z
_atom_site_occupancy
Cd1 Cd 0.1243 0.1243 0.1243 1
Ru1 Ru 0.2500 0.2500 0.7500 1
Cl1 Cl 0.0000 0.0000 0.5000 1

No. 12
# Cd5S4Cl2 | Alexandria via LeMat-Bulk | meta-GGA SCAN | single point on PBEsol structure
# - mass density (g cm⁻³) = 4.45
# - uncorrected formation energy (meV per atom) = -843
# - energy above the lowest structure with this stoichiometry (meV per atom) = 0.0
# - volume (A^3/atom) = 25.80
data_Cd5S4Cl2
_chemical_formula_sum 'Cd10 S8 Cl4'
_symmetry_space_group_name_H-M 'C 1 m 1'
_symmetry_Int_Tables_number 8
_cell_length_a 14.1574
_cell_length_b 4.2138
_cell_length_c 9.6346
_cell_angle_alpha 90.00
_cell_angle_beta 99.10
_cell_angle_gamma 90.00
loop_
_symmetry_equiv_pos_as_xyz
'x,y,z'
'x,-y,z'
'x+1/2,y+1/2,z'
'x+1/2,-y+1/2,z'
loop_
_atom_site_label
_atom_site_type_symbol
_atom_site_fract_x
_atom_site_fract_y
_atom_site_fract_z
_atom_site_occupancy
Cd1 Cd 0.0000 0.0000 0.0000 1
Cd2 Cd 0.0236 0.0000 0.6264 1
Cd3 Cd 0.1184 0.5000 0.3412 1
Cd4 Cd 0.2230 0.5000 0.9359 1
Cd5 Cd 0.3503 0.0000 0.2841 1
S1 S 0.1330 0.0000 0.8564 1
S2 S 0.2621 0.5000 0.2002 1
S3 S 0.4803 0.0000 0.4987 1
S4 S 0.4857 0.0000 0.1302 1
Cl1 Cl 0.1928 0.0000 0.4771 1
Cl2 Cl 0.3611 0.5000 0.7951 1

No. 13
# Cd5S4Cl2 | Alexandria via LeMat-Bulk | meta-GGA SCAN | single point on PBEsol structure
# - mass density (g cm⁻³) = 4.36
# - uncorrected formation energy (meV per atom) = -812
# - energy above the lowest structure with this stoichiometry (meV per atom) = 31.3
# - volume (A^3/atom) = 26.35
data_Cd5S4Cl2
_chemical_formula_sum 'Cd20 S16 Cl8'
_symmetry_space_group_name_H-M 'I b a m'
_symmetry_Int_Tables_number 72
_symmetry_space_group_name_Hall '-I 2 2c'
_cell_length_a 6.6031
_cell_length_b 12.5333
_cell_length_c 14.0088
_cell_angle_alpha 90.00
_cell_angle_beta 90.00
_cell_angle_gamma 90.00
loop_
_atom_site_label
_atom_site_type_symbol
_atom_site_fract_x
_atom_site_fract_y
_atom_site_fract_z
_atom_site_occupancy
Cd1 Cd 0.0000 0.0000 0.2500 1
Cd2 Cd 0.0000 0.2992 0.2500 1
Cd3 Cd 0.1942 0.4009 0.0000 1
S1 S 0.1956 0.1429 0.3376 1
Cl1 Cl 0.1945 0.3922 0.5000 1